# LiMg2AgAu, optimized geometry, DFT PBE
data_LiMg2AgAu
_symmetry_space_group_name_H-M 'P 1 21/m 1'
_symmetry_Int_Tables_number 11
_cell_length_a 5.5005
_cell_length_b 4.6239
_cell_length_c 7.3634
_cell_angle_alpha 90.00
_cell_angle_beta 106.36
_cell_angle_gamma 90.00
loop_
_symmetry_equiv_pos_as_xyz
'x,y,z'
'-x,-y,-z'
'-x,y+1/2,-z'
'x,-y+1/2,z'
loop_
_atom_site_label
_atom_site_fract_x
_atom_site_fract_y
_atom_site_fract_z
Li1 0.1428 0.2500 0.0293
Mg1 0.0642 0.7500 0.3882
Mg2 0.4853 0.7500 0.1738
Ag1 0.3690 0.2500 0.4059
Au1 0.2114 0.7500 0.7913
# calculated total energy	-26.334	eV per cell
# E_form	-37.3	kJ per mole of atoms